Entry from the Alexandria database: crystalline VP2AuO at its relaxed geometry (PBE with a Hubbard U).

Properties
Its theoretical density is 6.7 g/cm³. The value obtained for the density of states at the Fermi level is 3.07 states/eV per cell. The energy above the lowest structure with this stoichiometry comes out at 0.000 eV/atom. The total magnetization is 0.00 μB per atom. As for the crystal system: tetragonal.

a = 4.755 Å, b = 4.755 Å, c = 3.579 Å
α = 90.00°, β = 90.00°, γ = 90.00°
Space group P4/mmm (No. 123)
Unique sites:
V (0.000, 0.000, 0.000)
P (0.000, 0.500, 0.000)
Au (0.500, 0.500, 0.500)
O (0.000, 0.000, 0.500)